(1)
Here is a relaxed structure of BaPRu4 from the Alexandria database. Energies are from PBE.

## Properties
Energy in eV/atom: -6.58

```
data_BaPRu4
_chemical_formula_sum 'Ba4 P4 Ru16'
_symmetry_space_group_name_H-M 'F -4 3 m'
_symmetry_Int_Tables_number 216
_symmetry_space_group_name_Hall 'F -4 2 3'
_cell_length_a 7.616
_cell_length_b 7.616
_cell_length_c 7.616
_cell_angle_alpha 90.00
_cell_angle_beta 90.00
_cell_angle_gamma 90.00
loop_
_atom_site_label
_atom_site_fract_x
_atom_site_fract_y
_atom_site_fract_z
Ba1 0.000 0.000 0.000
P1 0.250 0.250 0.750
Ru1 0.123 0.123 0.377
```

---

(2)
Here is a relaxed structure of BaP3Ru from the Alexandria database. Energies are from PBE.

## Properties
Energy in eV/atom: -5.57

```
data_BaP3Ru
_chemical_formula_sum 'Ba1 P3 Ru1'
_symmetry_space_group_name_H-M 'P m -3 m'
_symmetry_Int_Tables_number 221
_symmetry_space_group_name_Hall '-P 4 2 3'
_cell_length_a 4.773
_cell_length_b 4.773
_cell_length_c 4.773
_cell_angle_alpha 90.00
_cell_angle_beta 90.00
_cell_angle_gamma 90.00
loop_
_atom_site_label
_atom_site_fract_x
_atom_site_fract_y
_atom_site_fract_z
Ba1 0.000 0.000 0.000
P1 0.000 0.500 0.500
Ru1 0.500 0.500 0.500
```

---

(3)
Here is a relaxed structure of BaP3Ru from the Alexandria database. Energies are from PBE.

## Properties
Energy in eV/atom: -3.11

```
data_BaP3Ru
_chemical_formula_sum 'Ba1 P3 Ru1'
_symmetry_space_group_name_H-M 'P m -3 m'
_symmetry_Int_Tables_number 221
_symmetry_space_group_name_Hall '-P 4 2 3'
_cell_length_a 5.410
_cell_length_b 5.410
_cell_length_c 5.410
_cell_angle_alpha 90.00
_cell_angle_beta 90.00
_cell_angle_gamma 90.00
loop_
_atom_site_label
_atom_site_fract_x
_atom_site_fract_y
_atom_site_fract_z
Ba1 0.000 0.000 0.000
P1 0.000 0.000 0.500
Ru1 0.500 0.500 0.500
```

---

(4)
Here is a relaxed structure of Ba3PRu from the Alexandria database. Energies are from PBE.

## Properties
Energy in eV/atom: -4.04

```
data_Ba3PRu
_chemical_formula_sum 'Ba3 P1 Ru1'
_symmetry_space_group_name_H-M 'P m -3 m'
_symmetry_Int_Tables_number 221
_symmetry_space_group_name_Hall '-P 4 2 3'
_cell_length_a 5.654
_cell_length_b 5.654
_cell_length_c 5.654
_cell_angle_alpha 90.00
_cell_angle_beta 90.00
_cell_angle_gamma 90.00
loop_
_atom_site_label
_atom_site_fract_x
_atom_site_fract_y
_atom_site_fract_z
Ba1 0.000 0.000 0.500
P1 0.500 0.500 0.500
Ru1 0.000 0.000 0.000
```

---

(5)
Here is a relaxed structure of BaPRuS2 from the Alexandria database. Energies are from PBE.

## Properties
Formation energy (no corrections) in eV per atom: 1.60
Energy in eV/atom: -3.37

```
data_BaPRuS2
_chemical_formula_sum 'Ba1 P1 Ru1 S2'
_symmetry_space_group_name_H-M 'P 4/m m m'
_symmetry_Int_Tables_number 123
_symmetry_space_group_name_Hall '-P 4 2'
_cell_length_a 5.704
_cell_length_b 5.704
_cell_length_c 5.864
_cell_angle_alpha 90.00
_cell_angle_beta 90.00
_cell_angle_gamma 90.00
loop_
_atom_site_label
_atom_site_fract_x
_atom_site_fract_y
_atom_site_fract_z
Ba1 0.000 0.000 0.000
P1 0.000 0.000 0.500
Ru1 0.500 0.500 0.500
S1 0.000 0.500 0.000
```

---

(6)
Here is a relaxed structure of BaP2RuS8 from the Alexandria database. Energies are from PBE.

## Properties
Formation energy (no corrections) in eV per atom: -0.51
Energy in eV/atom: -5.10

```
data_BaP2RuS8
_chemical_formula_sum 'Ba1 P2 Ru1 S8'
_symmetry_space_group_name_H-M 'P -3'
_symmetry_Int_Tables_number 147
_symmetry_space_group_name_Hall '-P 3'
_cell_length_a 5.8967
_cell_length_b 5.8967
_cell_length_c 8.7734
_cell_angle_alpha 90.00
_cell_angle_beta 90.00
_cell_angle_gamma 120.00
loop_
_atom_site_label
_atom_site_fract_x
_atom_site_fract_y
_atom_site_fract_z
Ba1 0.0000 0.0000 0.0000
P1 0.3333 0.6667 0.7222
Ru1 0.0000 0.0000 0.5000
S1 0.0091 0.6788 0.3394
S2 0.3333 0.6667 0.9521
```

---

(7)
Here is a relaxed structure of BaPRuS2 from the Alexandria database. Energies are from PBE.

## Properties
Formation energy (no corrections) in eV per atom: -0.58
Energy in eV/atom: -5.55

```
data_BaPRuS2
_chemical_formula_sum 'Ba1 P1 Ru1 S2'
_symmetry_space_group_name_H-M 'P 4/m m m'
_symmetry_Int_Tables_number 123
_symmetry_space_group_name_Hall '-P 4 2'
_cell_length_a 5.045
_cell_length_b 5.045
_cell_length_c 4.421
_cell_angle_alpha 90.00
_cell_angle_beta 90.00
_cell_angle_gamma 90.00
loop_
_atom_site_label
_atom_site_fract_x
_atom_site_fract_y
_atom_site_fract_z
Ba1 0.000 0.000 0.000
P1 0.500 0.500 0.000
Ru1 0.500 0.500 0.500
S1 0.000 0.500 0.500
```

---

(8)
Here is a relaxed structure of BaP2RuSe8 from the Alexandria database. Energies are from PBE.

## Properties
Formation energy (no corrections) in eV per atom: -0.40
Energy in eV/atom: -4.56

```
data_BaP2RuSe8
_chemical_formula_sum 'Ba1 P2 Ru1 Se8'
_symmetry_space_group_name_H-M 'P -3'
_symmetry_Int_Tables_number 147
_symmetry_space_group_name_Hall '-P 3'
_cell_length_a 6.1952
_cell_length_b 6.1952
_cell_length_c 9.1647
_cell_angle_alpha 90.00
_cell_angle_beta 90.00
_cell_angle_gamma 120.00
loop_
_atom_site_label
_atom_site_fract_x
_atom_site_fract_y
_atom_site_fract_z
Ba1 0.0000 0.0000 0.0000
P1 0.3333 0.6667 0.7239
Ru1 0.0000 0.0000 0.5000
Se1 0.0282 0.6899 0.3374
Se2 0.3333 0.6667 0.9631
```